# 1
! ThAs3Ir3, relaxed, DFT PBE; values from VASP
! SG ... Pm-3n (223)
! Uncorrected energy ... -48.92 eV/f.u.
! Total moment ... 0.0 μB per cell
&SYSTEM
  ibrav = 0, nat = 14, ntyp = 3
/
ATOMIC_SPECIES
As 74.92 As.upf
Ir 192.22 Ir.upf
Th 232.04 Th.upf
ATOMIC_POSITIONS crystal
As 0.250 0.000 0.500
As 0.000 0.500 0.250
As 0.500 0.750 0.000
As 0.750 0.000 0.500
As 0.000 0.500 0.750
As 0.500 0.250 0.000
Ir 0.000 0.250 0.500
Ir 0.000 0.750 0.500
Ir 0.500 0.000 0.750
Ir 0.750 0.500 0.000
Ir 0.500 0.000 0.250
Ir 0.250 0.500 0.000
Th 0.500 0.500 0.500
Th 0.000 0.000 0.000
CELL_PARAMETERS angstrom
6.718 0.000 0.000
0.000 6.718 0.000
0.000 0.000 6.718


# 2
! ThAsIr, relaxed, DFT PBE; values from VASP
! SG ... I4mm (107)
! Uncorrected energy ... -22.39 eV/f.u.
! Total moment ... 0.0 μB per cell
&SYSTEM
  ibrav = 0, nat = 3, ntyp = 3
/
ATOMIC_SPECIES
As 74.92 As.upf
Ir 192.22 Ir.upf
Th 232.04 Th.upf
ATOMIC_POSITIONS crystal
As 0.318 0.318 0.635
Ir 0.926 0.926 0.851
Th 0.607 0.607 0.213
CELL_PARAMETERS angstrom
-0.024 -2.928 1.793
3.361 0.347 0.611
-2.749 3.999 3.206


# 3
! Th2AsIr, relaxed, DFT PBE; values from VASP
! SG ... R-3m (166)
! Uncorrected energy ... -32.85 eV/f.u.
! Total moment ... 0.0 μB per cell
&SYSTEM
  ibrav = 0, nat = 4, ntyp = 3
/
ATOMIC_SPECIES
As 74.92 As.upf
Ir 192.22 Ir.upf
Th 232.04 Th.upf
ATOMIC_POSITIONS crystal
As 0.500 0.500 0.500
Ir 0.000 0.000 0.000
Th 0.257 0.257 0.230
Th 0.743 0.743 0.770
CELL_PARAMETERS angstrom
4.129 0.000 0.000
2.064 3.575 0.000
2.064 1.192 7.201


# 4
! ThAsIr2, relaxed, DFT PBE; values from VASP
! SG ... R-3m (166)
! Uncorrected energy ... -32.25 eV/f.u.
! Total moment ... 0.0 μB per cell
&SYSTEM
  ibrav = 0, nat = 4, ntyp = 3
/
ATOMIC_SPECIES
As 74.92 As.upf
Ir 192.22 Ir.upf
Th 232.04 Th.upf
ATOMIC_POSITIONS crystal
As 0.500 0.500 0.500
Ir 0.787 0.787 0.638
Ir 0.213 0.213 0.362
Th 0.000 0.000 0.000
CELL_PARAMETERS angstrom
4.258 0.000 0.000
2.129 3.688 0.000
2.129 1.229 5.073


- The lowest uncorrected energy belongs to which entry?
  ThAs3Ir3


- Among the records above, which one has the lowest uncorrected energy?
  ThAs3Ir3


- What is the uncorrected energy in the second record?
  -22.39 eV/f.u.